# KBeSe2

A geometry-optimized KBeSe2 structure (PBE, Alexandria). Values from VASP.

Computed properties:
Total energy, hartree per atom: -0.0909
M_tot, Bohr magnetons per cell: 0.00
Space group: F-43m (216)

Cell and atoms, written as Quantum ESPRESSO input:
```
&SYSTEM
  ibrav = 0, nat = 4, ntyp = 3
/
ATOMIC_SPECIES
Be 9.01 Be.upf
K 39.10 K.upf
Se 78.96 Se.upf
ATOMIC_POSITIONS angstrom
Be 5.030 2.904 2.054
K 7.546 4.356 3.080
Se 0.000 0.000 0.000
Se 2.515 1.452 1.027
CELL_PARAMETERS angstrom
5.030 0.000 0.000
2.515 4.356 0.000
2.515 1.452 4.107
```